The following is a DFT calculation (PBE-GGA) of a geometry-optimized TbGdScPt structure.

abc: 7.234 7.234 7.234
angles: 90.00 90.00 90.00
Space group F-43m (No. 216)
Asymmetric unit:
Tb 0.000 0.000 0.000 x4
Gd 0.000 0.000 0.500 x4
Sc 0.250 0.250 0.750 x4
Pt 0.250 0.250 0.250 x4

Computed properties:
As for the size of the total moment: 8.04 μB per formula unit. The total energy is -130.201 eV/cell. The formation energy from the elements is -0.37 eV/atom.

The following is a DFT calculation (PBE-GGA) of a geometry-optimized GdScTcPt structure.

abc: 6.730 6.730 6.730
angles: 90.00 90.00 90.00
Space group F-43m (No. 216)
Asymmetric unit:
Gd 0.000 0.000 0.000 x4
Sc 0.000 0.000 0.500 x4
Tc 0.250 0.250 0.250 x4
Pt 0.250 0.250 0.750 x4

Computed properties:
As for the size of the total moment: 7.13 μB per formula unit. The total energy is -156.399 eV/cell. The formation energy from the elements is -0.57 eV/atom.

The following is a DFT calculation (PBE-GGA) of a geometry-optimized GdYScPt structure.

abc: 7.234 7.234 7.234
angles: 90.00 90.00 90.00
Space group F-43m (No. 216)
Asymmetric unit:
Gd 0.000 0.000 0.000 x4
Y 0.000 0.000 0.500 x4
Sc 0.250 0.250 0.250 x4
Pt 0.250 0.250 0.750 x4

Computed properties:
As for the size of the total moment: 8.14 μB per formula unit. The total energy is -137.570 eV/cell. The formation energy from the elements is -0.37 eV/atom.

The following is a DFT calculation (PBE-GGA) of a geometry-optimized GdScZnPt structure.

abc: 6.898 6.898 6.898
angles: 90.00 90.00 90.00
Space group F-43m (No. 216)
Asymmetric unit:
Gd 0.000 0.000 0.000 x4
Sc 0.000 0.000 0.500 x4
Zn 0.250 0.250 0.250 x4
Pt 0.250 0.250 0.750 x4

Computed properties:
As for the size of the total moment: 7.21 μB per formula unit. The total energy is -122.823 eV/cell. The formation energy from the elements is -0.74 eV/atom.

The following is a DFT calculation (PBE-GGA) of a geometry-optimized Gd2PtSe structure.

abc: 4.0529 4.0529 21.4927
angles: 90.00 90.00 120.00
Space group R-3m (No. 166, hexagonal axes)
Asymmetric unit:
Gd 0.0000 0.0000 0.2442 x6
Pt 0.0000 0.0000 0.5000 x3
Se 0.0000 0.0000 0.0000 x3

Computed properties:
As for the size of the total moment: 14.28 μB per formula unit. As for the formation energy (no corrections): -1.480 eV/atom. The total energy is -130.825 eV/cell.

The following is a DFT calculation (PBE-GGA) of a geometry-optimized GdSiPt structure.

abc: 4.133 4.133 14.470
angles: 90.00 90.00 90.00
Space group I4_1md (No. 109)
Asymmetric unit:
Gd 0.000 0.000 0.000 x4
Si 0.000 0.000 0.420 x4
Pt 0.000 0.000 0.586 x4

Computed properties:
As for the size of the total moment: 7.07 μB per formula unit. As for the formation energy (no corrections): -1.168 eV/atom. The total energy is -116.195 eV/cell.

The following is a DFT calculation (PBE-GGA) of a geometry-optimized Gd2SiPt structure.

abc: 7.106 7.106 7.106
angles: 90.00 90.00 90.00
Space group Fm-3m (No. 225)
Asymmetric unit:
Gd 0.250 0.250 0.250 x8
Si 0.000 0.000 0.000 x4
Pt 0.000 0.000 0.500 x4

Computed properties:
The energy above the most stable polymorph in this dataset comes out at 11 meV per atom. As for the size of the total moment: 14.00 μB per formula unit. As for the formation energy (no corrections): -0.832 eV/atom. The total energy is -171.807 eV/cell.

The following is a DFT calculation (PBE-GGA) of a geometry-optimized GdSi2Pt2 structure.

abc: 4.226 4.226 9.849
angles: 90.00 90.00 90.00
Space group P4/nmm (No. 129, origin choice 2)
Asymmetric unit:
Gd 0.250 0.250 0.246 x2
Si 0.250 0.250 0.633 x2
Si 0.250 0.750 0.000 x2
Pt 0.250 0.250 0.877 x2
Pt 0.250 0.750 0.500 x2

Computed properties:
As for the size of the total moment: 7.08 μB per formula unit. As for the formation energy (no corrections): -1.102 eV/atom. The total energy is -85.038 eV/cell.